(1)
{"formula": "Sc2FeRh", "functional": "GGA-PBEsol", "state": "relaxed", "dos_at_fermi_per_ev_cell": 3.97, "formation_enthalpy_0k_ev_per_atom": -0.132, "magmom_total_mub_per_cell": 1.58, "final_energy_ev_per_atom": -7.710, "lattice": [[-3.062, -1.388, 0.343], [0.855, -2.427, -2.191], [1.989, -3.297, 4.428]], "species": ["Fe", "Rh", "Sc", "Sc"], "frac_coords": [[0.000, 0.000, 0.483], [0.500, 0.500, 0.761], [0.000, 0.000, 0.950], [0.500, 0.500, 0.306]]}


(2)
{"formula": "ScFeRh", "functional": "GGA-PBEsol", "state": "relaxed", "dos_at_fermi_per_ev_cell": 2.43, "formation_enthalpy_0k_ev_per_atom": 0.045, "magmom_total_mub_per_cell": 2.58, "final_energy_ev_per_atom": -7.857, "lattice": [[-2.075, 0.291, 3.539], [-3.863, -1.392, 0.239], [-0.834, -3.387, 2.179]], "species": ["Fe", "Rh", "Sc"], "frac_coords": [[0.250, 0.250, 0.250], [0.000, 0.000, 0.000], [0.500, 0.500, 0.500]]}